No. 1
An optimized crystal structure of LiTeP2Br. Source: the Alexandria database, functional PBE.

Cell lengths 5.0722, 6.2115, 5.0722 Å; angles 90.00, 90.00, 90.00 degrees
With the nearest neighbours (Å) after each atom.
Fractional positions:
P: 0.0000 0.0000 0.5000  2 Te 2.54
P: 0.5000 0.0000 0.0000  2 Te 2.54
Te: 0.0000 0.0000 0.0000  4 P 2.54
Br: 0.0000 0.5000 0.0000  2 Te 3.11
Li: 0.5000 0.5000 0.5000  4 Br 3.59, 8 P 4.01

## Properties
* space-group type: P4/mmm

=====

No. 2
An optimized crystal structure of LiPaBr5. Source: the Alexandria database, functional PBE.

Cell lengths 7.6545, 7.6545, 11.1077 Å; angles 67.56, 67.56, 87.65 degrees
With the nearest neighbours (Å) after each atom.
Fractional positions:
Li: 0.3807 0.6193 0.2500  4 Br 2.55-2.59
Li: 0.6193 0.3807 0.7500  4 Br 2.55-2.59
Pa: 0.0000 0.0000 0.0000  6 Br 2.78-2.91
Pa: 0.0000 0.0000 0.5000  6 Br 2.78-2.91
Br: 0.7470 0.6673 0.1651  1 Li 2.59, 1 Pa 2.78
Br: 0.2079 0.7043 0.4638  1 Li 2.55, 1 Pa 2.78
Br: 0.6673 0.7470 0.6651  1 Li 2.59, 1 Pa 2.78
Br: 0.9190 0.0810 0.2500  2 Pa 2.91
Br: 0.2957 0.7921 0.0362  1 Li 2.55, 1 Pa 2.78
Br: 0.7043 0.2079 0.9638  1 Li 2.55, 1 Pa 2.78
Br: 0.0810 0.9190 0.7500  2 Pa 2.91
Br: 0.3327 0.2530 0.3349  1 Li 2.59, 1 Pa 2.78
Br: 0.7921 0.2957 0.5362  1 Li 2.55, 1 Pa 2.78
Br: 0.2530 0.3327 0.8349  1 Li 2.59, 1 Pa 2.78

## Properties
* space-group type: C2/c

=====

No. 3
An optimized crystal structure of LiPa2Br11. Source: the Alexandria database, functional PBE.

Cell lengths 17.6842, 12.6724, 12.6724 Å; angles 49.92, 45.75, 45.75 degrees
With the nearest neighbours (Å) after each atom.
Fractional positions:
Li: 0.7500 0.7500 0.7500  4 Br 2.67
Li: 0.2500 0.2500 0.2500  4 Br 2.67
Pa: 0.5830 0.7328 0.2672  6 Br 2.65-2.89
Pa: 0.4170 0.2672 0.7328  6 Br 2.65-2.89
Pa: 0.9170 0.2328 0.7672  6 Br 2.65-2.89
Pa: 0.0830 0.7672 0.2328  6 Br 2.65-2.89
Br: 0.5374 0.7706 0.4934  1 Pa 2.66
Br: 0.4626 0.2294 0.5066  1 Pa 2.66
Br: 0.1987 0.4934 0.7706  1 Pa 2.66
Br: 0.9626 0.0066 0.7294  1 Pa 2.66
Br: 0.8013 0.5066 0.2294  1 Pa 2.66
Br: 0.0374 0.9934 0.2706  1 Pa 2.66
Br: 0.3013 0.7294 0.0066  1 Pa 2.66
Br: 0.6987 0.2706 0.9934  1 Pa 2.66
Br: 0.5000 0.5000 0.5000  2 Pa 2.89
Br: 0.0000 0.0000 0.0000  2 Pa 2.89
Br: 0.6577 0.9476 0.0524  1 Pa 2.65
Br: 0.3423 0.0524 0.9476  1 Pa 2.65
Br: 0.8423 0.4476 0.5524  1 Pa 2.65
Br: 0.1577 0.5524 0.4476  1 Pa 2.65
Br: 0.3528 0.9452 0.3106  1 Li 2.67, 1 Pa 2.76
Br: 0.6472 0.0548 0.6894  1 Li 2.67, 1 Pa 2.76
Br: 0.3914 0.3106 0.9452  1 Li 2.67, 1 Pa 2.76
Br: 0.1472 0.1894 0.5548  1 Li 2.67, 1 Pa 2.76
Br: 0.6086 0.6894 0.0548  1 Li 2.67, 1 Pa 2.76
Br: 0.8528 0.8106 0.4452  1 Li 2.67, 1 Pa 2.76
Br: 0.1086 0.5548 0.1894  1 Li 2.67, 1 Pa 2.76
Br: 0.8914 0.4452 0.8106  1 Li 2.67, 1 Pa 2.76

## Properties
* space-group type: Ibam

=====

| no. | ΔE_f (raw) (meV/atom) |
| --- | --- |
| 1 | 546 |
| 2 | -1450 |
| 3 | -1408 |